[1]
Here is crystalline Al2Tl5F12 at its relaxed geometry from Alexandria via LeMat-Bulk. Energies are from GGA-PBE.

The value obtained for the calculated total energy is -177.5 eV/cell. As for the density: 6.1 g/cm³. Its total magnetic moment is 0.95 μB/f.u.

It has space group C2/m (No. 12), with a = 14.1188 Å, b = 5.9815 Å, c = 8.6076 Å, α = 90.00°, β = 100.38° and γ = 90.00°. The inequivalent atoms are Al at (0.0000, 0.2477, 0.0000), Tl at (0.0000, 0.0000, 0.5000), Tl at (0.1969, 0.5000, 0.3514), Tl at (0.2040, 0.5000, 0.8170), F at (0.0020, 0.5000, 0.1411), F at (0.0038, 0.0000, 0.1422), F at (0.1263, 0.2510, 0.0297) and F at (0.1338, 0.2439, 0.5489).

[2]
Here is crystalline Al2TlF6 at its relaxed geometry from Alexandria via LeMat-Bulk. Energies are from GGA-PBE.

The value obtained for the calculated total energy is -185.3 eV/cell. As for the density: 4.3 g/cm³. Its total magnetic moment is 0.00 μB/f.u.

It has space group C2/c (No. 15), with a = 11.8578 Å, b = 9.7875 Å, c = 5.4746 Å, α = 90.00°, β = 114.59° and γ = 90.00°. The inequivalent atoms are Al at (0.2164, 0.1043, 0.4477), Tl at (0.0000, 0.3098, 0.7500), F at (0.1381, 0.4627, 0.4466), F at (0.1504, 0.0085, 0.1250) and F at (0.2448, 0.2607, 0.2831).

[3]
Here is crystalline AlTl5F8 at its relaxed geometry from Alexandria via LeMat-Bulk. Energies are from GGA-PBE.

The value obtained for the calculated total energy is -123.6 eV/cell. As for the density: 5.1 g/cm³. Its total magnetic moment is 0.00 μB/f.u.

It has space group I-4 (No. 82), with a = 9.5300 Å, b = 9.5300 Å, c = 8.6004 Å, α = 90.00°, β = 90.00° and γ = 90.00°. The inequivalent atoms are Al at (0.0000, 0.0000, 0.0000), Tl at (0.0000, 0.5000, 0.7500), Tl at (0.1733, 0.7539, 0.3774), F at (0.0078, 0.2638, 0.5786) and F at (0.0379, 0.8563, 0.1098).

[4]
Here is crystalline AlTlF2 at its relaxed geometry from Alexandria via LeMat-Bulk. Energies are from GGA-PBE.

The value obtained for the calculated total energy is -48.6 eV/cell. As for the density: 5.6 g/cm³. Its total magnetic moment is 0.00 μB/f.u. The offset from the most stable computed form comes out at 182 meV per atom.

It has space group R-3m (No. 166, hexagonal axes), with a = 3.3818 Å, b = 3.3818 Å, c = 24.3947 Å, α = 90.00°, β = 90.00° and γ = 120.00°. The inequivalent atoms are Al at (0.0000, 0.0000, 0.0000), Tl at (0.0000, 0.0000, 0.5000) and F at (0.0000, 0.0000, 0.3674).

[5]
Here is crystalline AlTlF2 at its relaxed geometry from Alexandria via LeMat-Bulk. Energies are from GGA-PBE.

The value obtained for the calculated total energy is -50.8 eV/cell. As for the density: 6.3 g/cm³. Its total magnetic moment is 0.00 μB/f.u. The offset from the most stable computed form comes out at 0 meV per atom.

It has space group R-3m (No. 166, hexagonal axes), with a = 3.2269 Å, b = 3.2269 Å, c = 23.6086 Å, α = 90.00°, β = 90.00° and γ = 120.00°. The inequivalent atoms are Al at (0.0000, 0.0000, 0.0000), Tl at (0.0000, 0.0000, 0.5000) and F at (0.0000, 0.0000, 0.0758).

[6]
Here is crystalline AlTlF2 at its relaxed geometry from Alexandria via LeMat-Bulk. Energies are from GGA-PBE.

The value obtained for the calculated total energy is -60.1 eV/cell. As for the density: 6.3 g/cm³. Its total magnetic moment is 0.00 μB/f.u. The offset from the most stable computed form comes out at 472 meV per atom.

It has space group Fm-3m (No. 225), with a = 6.5796 Å, b = 6.5796 Å, c = 6.5796 Å, α = 90.00°, β = 90.00° and γ = 90.00°. The inequivalent atoms are Al at (0.0000, 0.0000, 0.0000), Tl at (0.0000, 0.0000, 0.5000) and F at (0.2500, 0.2500, 0.2500).